A plane-wave DFT calculation with PBE was carried out for an optimized crystal structure of Mg2InPb.

Cell lengths 5.5015, 5.5015, 5.5015 Å; angles 128.18, 128.18, 76.33 degrees
With the nearest neighbours (Å) after each atom.
Fractional coordinates of all 4 atoms:
Mg (0.2500, 0.7500, 0.5000)  4 Pb 3.23, 4 In 3.23, 4 Mg 3.40
Mg (0.7500, 0.2500, 0.5000)  4 Pb 3.23, 4 In 3.23, 4 Mg 3.40
In (0.0000, 0.0000, 0.0000)  8 Mg 3.23, 4 Pb 3.40
Pb (0.5000, 0.5000, 0.0000)  8 Mg 3.23, 4 In 3.40

Values from the calculation:
As for the space group: No. 139. The value obtained for the formation energy from the elements is -0.0618 eV/atom. For the total energy, the calculation gives -2.4708 eV per atom.